The following is a DFT calculation (GGA-PBEsol) of crystalline Ba2CrPd at its relaxed geometry.

Cell: 7.856 7.856 7.856 Å, 90.00 90.00 90.00°
Space group Fm-3m (No. 225)
Inequivalent atoms, fractional coordinates:
Ba 0.250 0.250 0.250
Cr 0.000 0.000 0.000
Pd 0.000 0.000 0.500

Properties
The formation energy from the elements comes out at 0.350 eV/atom. The value obtained for the total energy is -4.77 eV per atom. The calculated density is 5933 kg/m³. The total magnetization is 4.98 μB/f.u.

The following is a DFT calculation (GGA-PBEsol) of crystalline CdMoRh at its relaxed geometry.

Cell: 2.8096 2.8096 6.9638 Å, 90.00 90.00 120.00°
Space group P3m1 (No. 156)
Inequivalent atoms, fractional coordinates:
Cd 0.0000 0.0000 0.0000
Mo 0.3333 0.6667 0.6376
Rh 0.6667 0.3333 0.3468

Properties
The formation energy from the elements comes out at 0.086 eV/atom. The value obtained for the total energy is -6.95 eV per atom. Its energy above the most stable polymorph in this dataset is 0.000 eV/atom. The calculated density is 10857 kg/m³. The total magnetization is 0.00 μB/f.u.

The following is a DFT calculation (GGA-PBEsol) of crystalline As2Au at its relaxed geometry.

Cell: 7.4539 7.4539 3.6423 Å, 90.00 90.00 120.00°
Space group P-62m (No. 189)
Inequivalent atoms, fractional coordinates:
As 0.0000 0.2800 0.0000
As 0.0000 0.5295 0.5000
Au 0.0000 0.0000 0.5000
Au 0.3333 0.6667 0.0000

Properties
The formation energy from the elements comes out at 0.217 eV/atom. The value obtained for the total energy is -4.49 eV per atom. The calculated density is 9858 kg/m³. The total magnetization is 0.00 μB/f.u.

The following is a DFT calculation (GGA-PBEsol) of crystalline Cs2Te at its relaxed geometry.

Cell: 9.246 5.713 11.383 Å, 90.00 90.00 90.00°
Space group Pnma (No. 62)
Inequivalent atoms, fractional coordinates:
Cs 0.033 0.250 0.176
Cs 0.148 0.250 0.571
Te 0.245 0.250 0.883

Properties
The value obtained for the total energy is -2.82 eV per atom. The calculated density is 4346 kg/m³. The total magnetization is 0.00 μB/f.u.

The following is a DFT calculation (GGA-PBEsol) of crystalline La2YSc at its relaxed geometry.

Cell: 3.5233 3.5233 33.4376 Å, 90.00 90.00 120.00°
Space group R-3m (No. 166, hexagonal axes)
Inequivalent atoms, fractional coordinates:
La 0.0000 0.0000 0.2465
Y 0.0000 0.0000 0.0000
Sc 0.0000 0.0000 0.5000

Properties
The formation energy from the elements comes out at 0.033 eV/atom. The value obtained for the total energy is -6.00 eV per atom. Its energy above the most stable polymorph in this dataset is 0.005 eV/atom. The calculated density is 5705 kg/m³. The total magnetization is 0.00 μB/f.u.

The following is a DFT calculation (GGA-PBEsol) of crystalline CsAgCl2 at its relaxed geometry.

Cell: 5.3386 5.3386 22.6518 Å, 90.00 90.00 120.00°
Space group R-3m (No. 166, hexagonal axes)
Inequivalent atoms, fractional coordinates:
Cs 0.0000 0.0000 0.0000
Ag 0.0000 0.0000 0.5000
Cl 0.0000 0.0000 0.3990

Properties
The value obtained for the total energy is -3.20 eV per atom. Its energy above the most stable polymorph in this dataset is 0.075 eV/atom. The calculated density is 2777 kg/m³. The total magnetization is 0.00 μB/f.u.

The following is a DFT calculation (GGA-PBEsol) of crystalline Ca2CrH at its relaxed geometry.

Cell: 6.907 6.907 7.751 Å, 90.00 90.00 90.00°
Space group I-42d (No. 122)
Inequivalent atoms, fractional coordinates:
Ca 0.142 0.250 0.125
Cr 0.000 0.000 0.500
H 0.000 0.000 0.000

Properties
The value obtained for the total energy is -4.07 eV per atom. The calculated density is 2392 kg/m³. The total magnetization is 4.67 μB/f.u.

The following is a DFT calculation (GGA-PBEsol) of crystalline NaSr3Pd at its relaxed geometry.

Cell: 5.944 5.944 5.944 Å, 90.00 90.00 90.00°
Space group Pm-3m (No. 221)
Inequivalent atoms, fractional coordinates:
Na 0.000 0.000 0.000
Sr 0.000 0.500 0.500
Pd 0.500 0.500 0.500

Properties
The formation energy from the elements comes out at -0.250 eV/atom. The value obtained for the total energy is -2.83 eV per atom. The calculated density is 3102 kg/m³. The total magnetization is 0.00 μB/f.u.

The following is a DFT calculation (GGA-PBEsol) of crystalline LaRu2W at its relaxed geometry.

Cell: 4.571 4.571 6.456 Å, 90.00 90.00 90.00°
Space group I-4m2 (No. 119)
Inequivalent atoms, fractional coordinates:
La 0.000 0.000 0.000
Ru 0.000 0.000 0.500
Ru 0.000 0.500 0.250
W 0.000 0.500 0.750

Properties
The formation energy from the elements comes out at 0.607 eV/atom. The value obtained for the total energy is -9.27 eV per atom. The calculated density is 12922 kg/m³. The total magnetization is 1.20 μB/f.u.

The following is a DFT calculation (GGA-PBEsol) of crystalline YBi2RuO at its relaxed geometry.

Cell: 4.871 4.871 4.336 Å, 90.00 90.00 90.00°
Space group P4/mmm (No. 123)
Inequivalent atoms, fractional coordinates:
Y 0.000 0.000 0.000
Bi 0.000 0.500 0.500
Ru 0.500 0.500 0.000
O 0.000 0.000 0.500

Properties
The value obtained for the total energy is -6.55 eV per atom. The calculated density is 10070 kg/m³. The total magnetization is 0.00 μB/f.u.

The following is a DFT calculation (GGA-PBEsol) of crystalline TlTeBr2 at its relaxed geometry.

Cell: 4.046 4.046 8.350 Å, 90.00 90.00 90.00°
Space group P4mm (No. 99)
Inequivalent atoms, fractional coordinates:
Tl 0.000 0.000 0.000
Te 0.500 0.500 0.615
Br 0.000 0.000 0.557
Br 0.500 0.500 0.157

Properties
The value obtained for the total energy is -2.67 eV per atom. Its energy above the most stable polymorph in this dataset is 0.042 eV/atom. The calculated density is 5976 kg/m³. The total magnetization is 0.00 μB/f.u.

The following is a DFT calculation (GGA-PBEsol) of crystalline CoAsSe2N at its relaxed geometry.

Cell: 4.187 4.187 4.306 Å, 90.00 90.00 90.00°
Space group P4/mmm (No. 123)
Inequivalent atoms, fractional coordinates:
Co 0.000 0.000 0.000
As 0.500 0.500 0.000
Se 0.000 0.500 0.500
N 0.500 0.500 0.500

Properties
The value obtained for the total energy is -4.83 eV per atom. The calculated density is 6725 kg/m³. The total magnetization is 1.30 μB/f.u.

The following is a DFT calculation (GGA-PBEsol) of crystalline CoHg2SCl at its relaxed geometry.

Cell: 5.221 5.221 4.071 Å, 90.00 90.00 90.00°
Space group P4/mmm (No. 123)
Inequivalent atoms, fractional coordinates:
Co 0.000 0.000 0.000
Hg 0.000 0.500 0.500
S 0.000 0.000 0.500
Cl 0.500 0.500 0.000

Properties
The value obtained for the total energy is -2.83 eV per atom. The calculated density is 7896 kg/m³. The total magnetization is 1.36 μB/f.u.

The following is a DFT calculation (GGA-PBEsol) of crystalline LuFe10Si2 at its relaxed geometry.

Cell: 4.695 11.355 11.367 Å, 90.00 90.00 90.00°
Space group Fmmm (No. 69)
Inequivalent atoms, fractional coordinates:
Lu 0.000 0.000 0.000
Fe 0.000 0.109 0.391
Fe 0.000 0.179 0.179
Fe 0.250 0.000 0.250
Si 0.250 0.250 0.000

Properties
The value obtained for the total energy is -8.37 eV per atom. Its energy above the most stable polymorph in this dataset is 0.061 eV/atom. The calculated density is 8654 kg/m³. The total magnetization is 16.49 μB/f.u.

The following is a DFT calculation (GGA-PBEsol) of crystalline LaHg2Au2 at its relaxed geometry.

Cell: 4.193 4.193 13.119 Å, 90.00 90.00 90.00°
Space group I4/mmm (No. 139)
Inequivalent atoms, fractional coordinates:
La 0.000 0.000 0.000
Hg 0.000 0.500 0.250
Au 0.000 0.000 0.399

Properties
The formation energy from the elements comes out at -0.471 eV/atom. The value obtained for the total energy is -3.34 eV per atom. The calculated density is 13448 kg/m³. The total magnetization is 0.00 μB/f.u.

The following is a DFT calculation (GGA-PBEsol) of crystalline CaH4N2 at its relaxed geometry.

Cell: 6.291 7.161 6.183 Å, 90.00 109.57 90.00°
Space group P2_1/c (No. 14)
Inequivalent atoms, fractional coordinates:
Ca 0.250 0.121 0.003
H 0.038 0.591 0.134
H 0.130 0.743 0.339
H 0.386 0.692 0.756
H 0.434 0.031 0.609
N 0.005 0.643 0.276
N 0.476 0.117 0.752

Properties
The value obtained for the total energy is -5.29 eV per atom. The calculated density is 1825 kg/m³. The total magnetization is 0.00 μB/f.u.

The following is a DFT calculation (GGA-PBEsol) of crystalline TlAg2Ru at its relaxed geometry.

Cell: 2.9416 2.9416 27.8257 Å, 90.00 90.00 120.00°
Space group R3m (No. 160, hexagonal axes)
Inequivalent atoms, fractional coordinates:
Tl 0.0000 0.0000 0.0000
Ag 0.0000 0.0000 0.5058
Ag 0.0000 0.0000 0.7575
Ru 0.0000 0.0000 0.2515

Properties
The formation energy from the elements comes out at 0.471 eV/atom. The value obtained for the total energy is -4.38 eV per atom. Its energy above the most stable polymorph in this dataset is 0.033 eV/atom. The calculated density is 12451 kg/m³. The total magnetization is 0.44 μB/f.u.

The following is a DFT calculation (GGA-PBEsol) of crystalline KCdSbI2 at its relaxed geometry.

Cell: 6.225 6.225 6.488 Å, 90.00 90.00 90.00°
Space group P4/mmm (No. 123)
Inequivalent atoms, fractional coordinates:
K 0.000 0.000 0.000
Cd 0.500 0.500 0.500
Sb 0.000 0.000 0.500
I 0.000 0.500 0.000

Properties
The value obtained for the total energy is -1.65 eV per atom. The calculated density is 3481 kg/m³. The total magnetization is 2.15 μB/f.u.

The following is a DFT calculation (GGA-PBEsol) of crystalline GdYIr2 at its relaxed geometry.

Cell: 6.790 6.790 6.790 Å, 90.00 90.00 90.00°
Space group Fm-3m (No. 225)
Inequivalent atoms, fractional coordinates:
Gd 0.000 0.000 0.000
Y 0.000 0.000 0.500
Ir 0.250 0.250 0.250

Properties
The formation energy from the elements comes out at -0.729 eV/atom. The value obtained for the total energy is -10.96 eV per atom. The calculated density is 13379 kg/m³. The total magnetization is 6.94 μB/f.u.

The following is a DFT calculation (GGA-PBEsol) of crystalline Mg2ScHg at its relaxed geometry.

Cell: 3.535 3.535 6.811 Å, 90.00 90.00 90.00°
Space group P4mm (No. 99)
Inequivalent atoms, fractional coordinates:
Mg 0.000 0.000 0.000
Mg 0.500 0.500 0.254
Sc 0.000 0.000 0.523
Hg 0.500 0.500 0.760

Properties
The formation energy from the elements comes out at -0.223 eV/atom. The value obtained for the total energy is -2.87 eV per atom. The calculated density is 5739 kg/m³. The total magnetization is 0.32 μB/f.u.

The following is a DFT calculation (GGA-PBEsol) of crystalline CrNiAsSe2 at its relaxed geometry.

Cell: 4.781 4.781 4.305 Å, 90.00 90.00 90.00°
Space group P4/mmm (No. 123)
Inequivalent atoms, fractional coordinates:
Cr 0.000 0.000 0.000
Ni 0.500 0.500 0.500
As 0.500 0.500 0.000
Se 0.000 0.500 0.500

Properties
The value obtained for the total energy is -5.34 eV per atom. The calculated density is 5797 kg/m³. The total magnetization is 3.75 μB/f.u.

The following is a DFT calculation (GGA-PBEsol) of crystalline TaNbTe2I at its relaxed geometry.

Cell: 5.327 5.327 5.320 Å, 90.00 90.00 90.00°
Space group P4/mmm (No. 123)
Inequivalent atoms, fractional coordinates:
Ta 0.000 0.000 0.000
Nb 0.500 0.500 0.500
Te 0.000 0.500 0.500
I 0.500 0.500 0.000

Properties
The value obtained for the total energy is -5.27 eV per atom. The calculated density is 7216 kg/m³. The total magnetization is 3.86 μB/f.u.

The following is a DFT calculation (GGA-PBEsol) of crystalline AgAu3 at its relaxed geometry.

Cell: 2.853 4.061 5.799 Å, 90.00 90.00 90.00°
Space group Pmmm (No. 47)
Inequivalent atoms, fractional coordinates:
Ag 0.000 0.000 0.000
Au 0.000 0.000 0.500
Au 0.500 0.500 0.248

Properties
The formation energy from the elements comes out at -0.037 eV/atom. The value obtained for the total energy is -3.81 eV per atom. Its energy above the most stable polymorph in this dataset is 0.009 eV/atom. The calculated density is 17270 kg/m³. The total magnetization is 0.00 μB/f.u.

The following is a DFT calculation (GGA-PBEsol) of crystalline Li2CoSiO4 at its relaxed geometry.

Cell: 6.205 4.976 10.688 Å, 90.00 90.94 90.00°
Space group P2_1/c (No. 14)
Inequivalent atoms, fractional coordinates:
Li 0.002 0.195 0.416
Li 0.237 0.202 0.170
Co 0.491 0.710 0.091
Si 0.245 0.697 0.336
O 0.033 0.696 0.906
O 0.250 0.694 0.690
O 0.255 0.135 0.838
O 0.472 0.694 0.907

Properties
The value obtained for the total energy is -6.84 eV per atom. Its energy above the most stable polymorph in this dataset is 0.014 eV/atom. The calculated density is 3320 kg/m³. The total magnetization is 3.00 μB/f.u.